Entry from Alexandria: a relaxed structure of CuSnF2 (PBE-GGA).

Cell lengths 3.292, 3.292, 20.841 Å; angles 90.00, 90.00, 120.00 degrees
Fractional positions:
Cu  0.000  0.000  0.000
Cu  0.333  0.667  0.667
Cu  0.667  0.333  0.333
Sn  0.000  0.000  0.500
Sn  0.333  0.667  0.167
Sn  0.667  0.333  0.833
F  0.000  0.000  0.387
F  0.000  0.000  0.613
F  0.333  0.667  0.053
F  0.333  0.667  0.280
F  0.667  0.333  0.720
F  0.667  0.333  0.947

Computed properties:
ρ (g/cm³): 5.61
Fermi-level density of states (states/eV/f.u.): 5.61
Formation energy from raw total energies (eV per atom): -1.210
Magnetic moment (Bohr magnetons per cell): 0.717



Entry from Alexandria: a relaxed structure of CuSn2F (PBE-GGA).

Cell lengths 4.882, 4.882, 14.899 Å; angles 90.00, 90.00, 90.00 degrees
Fractional positions:
Cu  0.000  0.000  0.000
Cu  0.000  0.500  0.250
Cu  0.500  0.000  0.750
Cu  0.500  0.500  0.500
Sn  0.213  0.250  0.625
Sn  0.250  0.713  0.875
Sn  0.250  0.787  0.375
Sn  0.287  0.250  0.125
Sn  0.713  0.750  0.125
Sn  0.750  0.213  0.375
Sn  0.750  0.287  0.875
Sn  0.787  0.750  0.625
F  0.000  0.000  0.500
F  0.000  0.500  0.750
F  0.500  0.000  0.250
F  0.500  0.500  0.000

Computed properties:
ρ (g/cm³): 5.99
Fermi-level density of states (states/eV/f.u.): 1.75
Formation energy from raw total energies (eV per atom): -0.443
Magnetic moment (Bohr magnetons per cell): 0.000



Entry from Alexandria: a relaxed structure of CuSnF2 (PBE-GGA).

Cell lengths 6.185, 6.185, 6.185 Å; angles 90.00, 90.00, 90.00 degrees
Fractional positions:
Cu  0.000  0.000  0.000
Cu  0.000  0.500  0.500
Cu  0.500  0.000  0.500
Cu  0.500  0.500  0.000
Sn  0.000  0.000  0.500
Sn  0.000  0.500  0.000
Sn  0.500  0.000  0.000
Sn  0.500  0.500  0.500
F  0.250  0.250  0.250
F  0.250  0.250  0.750
F  0.250  0.750  0.250
F  0.250  0.750  0.750
F  0.750  0.250  0.250
F  0.750  0.250  0.750
F  0.750  0.750  0.250
F  0.750  0.750  0.750

Computed properties:
ρ (g/cm³): 6.18
Fermi-level density of states (states/eV/f.u.): 3.40
Formation energy from raw total energies (eV per atom): -0.937
Magnetic moment (Bohr magnetons per cell): 0.000



no.,ΔE to the lowest computed polymorph (meV per atom)
1,0
2,110
3,272